# SrMn3 | the Alexandria database | meta-GGA SCAN | PBEsol geometry
# Crystal system: tetragonal
# Electronic total energy, eV/atom: -18.983
# Formation enthalpy at 0 K, eV per atom: 0.28
data_SrMn3
_cell_length_a 3.0311
_cell_length_b 3.0311
_cell_length_c 7.4520
_cell_angle_alpha 90.00
_cell_angle_beta 90.00
_cell_angle_gamma 90.00
_space_group_name_H-M_alt 'P 4/m m m'
_space_group_IT_number 123
_space_group_name_Hall '-P 4 2'
loop_
_atom_site_label
_atom_site_type_symbol
_atom_site_fract_x
_atom_site_fract_y
_atom_site_fract_z
_atom_site_occupancy
Sr1 Sr 0.0000 0.0000 0.0000 1
Mn1 Mn 0.0000 0.0000 0.5000 1
Mn2 Mn 0.5000 0.5000 0.3316 1